(1)
Density functional theory data (PBE with a Hubbard U) for an optimized crystal structure of Li3P3W2O12.

a b c (Å): 9.302 9.302 9.302
angles (deg): 55.46 55.46 55.46
Element x y z (fractional)
Li (0.073, 0.734, 0.335)
Li (0.335, 0.073, 0.734)
Li (0.734, 0.335, 0.073)
Li (0.266, 0.665, 0.927)
Li (0.665, 0.927, 0.266)
Li (0.927, 0.266, 0.665)
P (0.041, 0.452, 0.751)
P (0.452, 0.751, 0.041)
P (0.751, 0.041, 0.452)
P (0.249, 0.959, 0.548)
P (0.548, 0.249, 0.959)
P (0.959, 0.548, 0.249)
W (0.348, 0.348, 0.348)
W (0.652, 0.652, 0.652)
W (0.145, 0.145, 0.145)
W (0.855, 0.855, 0.855)
O (0.145, 0.558, 0.207)
O (0.207, 0.145, 0.558)
O (0.558, 0.207, 0.145)
O (0.156, 0.499, 0.538)
O (0.148, 0.252, 0.863)
O (0.993, 0.597, 0.814)
O (0.252, 0.863, 0.148)
O (0.499, 0.538, 0.156)
O (0.538, 0.156, 0.499)
O (0.186, 0.007, 0.403)
O (0.137, 0.852, 0.748)
O (0.403, 0.186, 0.007)
O (0.597, 0.814, 0.993)
O (0.863, 0.148, 0.252)
O (0.814, 0.993, 0.597)
O (0.462, 0.844, 0.501)
O (0.501, 0.462, 0.844)
O (0.748, 0.137, 0.852)
O (0.007, 0.403, 0.186)
O (0.852, 0.748, 0.137)
O (0.844, 0.501, 0.462)
O (0.442, 0.793, 0.855)
O (0.793, 0.855, 0.442)
O (0.855, 0.442, 0.793)

Computed properties:
Offset from the most stable computed form ... 0.00 eV/f.u.
Density of states at the Fermi level ... 0.00 states/eV/atom
Symmetry ... R-3, No. 148
Total DFT energy (no corrections) ... -7.01 eV per atom

(2)
Density functional theory data (PBE with a Hubbard U) for an optimized crystal structure of Li2PWO6.

a b c (Å): 4.092 5.079 5.079
angles (deg): 90.00 90.00 90.00
Element x y z (fractional)
Li (0.004, 0.500, 0.000)
Li (0.004, 0.000, 0.500)
P (0.590, 0.000, 0.000)
W (0.654, 0.500, 0.500)
O (0.701, 0.226, 0.226)
O (0.701, 0.226, 0.774)
O (0.170, 0.500, 0.500)
O (0.221, 0.000, 0.000)
O (0.701, 0.774, 0.774)
O (0.701, 0.774, 0.226)

Computed properties:
Offset from the most stable computed form ... 3.48 eV/f.u.
Density of states at the Fermi level ... 0.19 states/eV/atom
Symmetry ... P4mm, No. 99
Total DFT energy (no corrections) ... -6.47 eV per atom

(3)
Density functional theory data (PBE with a Hubbard U) for an optimized crystal structure of LiPWO5.

a b c (Å): 7.493 7.466 8.133
angles (deg): 89.98 90.14 119.30
Element x y z (fractional)
Li (0.260, 0.707, 0.430)
Li (0.240, 0.293, 0.070)
Li (0.760, 0.707, 0.930)
Li (0.740, 0.293, 0.570)
P (0.247, 0.742, 0.108)
P (0.253, 0.258, 0.392)
P (0.747, 0.742, 0.608)
P (0.753, 0.258, 0.892)
W (0.250, 0.500, 0.750)
W (0.250, 0.000, 0.750)
W (0.750, 0.000, 0.250)
W (0.750, 0.500, 0.250)
O (0.226, 0.897, 0.999)
O (0.068, 0.643, 0.235)
O (0.256, 0.753, 0.659)
O (0.260, 0.572, 0.007)
O (0.240, 0.428, 0.493)
O (0.433, 0.843, 0.229)
O (0.068, 0.157, 0.271)
O (0.243, 0.247, 0.841)
O (0.726, 0.897, 0.499)
O (0.432, 0.357, 0.265)
O (0.568, 0.643, 0.735)
O (0.274, 0.103, 0.501)
O (0.757, 0.753, 0.159)
O (0.932, 0.843, 0.729)
O (0.567, 0.157, 0.771)
O (0.760, 0.572, 0.507)
O (0.740, 0.428, 0.993)
O (0.744, 0.247, 0.341)
O (0.932, 0.357, 0.765)
O (0.774, 0.103, 0.001)

Computed properties:
Offset from the most stable computed form ... 0.00 eV/f.u.
Density of states at the Fermi level ... 0.00 states/eV/atom
Symmetry ... P-1, No. 2
Total DFT energy (no corrections) ... -7.13 eV per atom